K3Dy2MnS6 | PBE | optimized geometry

Lattice parameters (Å, degrees): 6.8631 6.8631 7.6786 98.26 98.26 120.86
Last column: nearest neighbours and their distance in Å.
Fractional positions:
K 0.0000 0.0000 0.0000  6 S 3.14-3.40
K 0.3321 0.6679 0.0000  6 S 3.12-3.24
K 0.6679 0.3321 0.0000  6 S 3.12-3.24
Dy 0.1691 0.8309 0.5000  6 S 2.72-2.79
Dy 0.8309 0.1691 0.5000  6 S 2.72-2.79
Mn 0.5000 0.5000 0.5000  6 S 2.43-2.64
S 0.1127 0.4314 0.2997  1 Mn 2.64, 2 Dy 2.72-2.75
S 0.2628 0.2628 0.6845  1 Mn 2.43
S 0.4314 0.1127 0.2997  1 Mn 2.64, 2 Dy 2.72-2.75
S 0.5686 0.8873 0.7003  1 Mn 2.64, 2 Dy 2.72-2.75
S 0.7372 0.7372 0.3155  1 Mn 2.43
S 0.8873 0.5686 0.7003  1 Mn 2.64, 2 Dy 2.72-2.75

## Properties
Magnetization = 4.000 μB/f.u.
VASP energy = -0.39300 Ry/atom